[1]
Density functional theory data (SCAN) for a crystal of Tl2GaI relaxed with PBEsol.

Properties
The spin magnetization is 0.00 μB per formula unit. The raw total energy comes out at -49.31 eV/atom. As for the space group: Fm-3m (225). As for the crystal system: cubic.

Cell lengths 5.495, 5.495, 5.495 Å; angles 60.00, 60.00, 60.00 degrees
Atoms (fractional coordinates):
I  0.500  0.500  0.500
Tl  0.250  0.250  0.250
Tl  0.750  0.750  0.750
Ga  0.000  0.000  0.000

***

[2]
Density functional theory data (SCAN) for a crystal of RbAlSbI2 relaxed with PBEsol.

Properties
The spin magnetization is 1.28 μB per formula unit. The raw total energy comes out at -28.27 eV/atom. As for the space group: P4/mmm (123). As for the crystal system: tetragonal.

Cell lengths 5.268, 5.839, 5.839 Å; angles 90.00, 90.00, 90.00 degrees
Atoms (fractional coordinates):
I  0.000  0.000  0.500
I  0.000  0.500  0.000
Sb  0.500  0.000  0.000
Al  0.000  0.000  0.000
Rb  0.500  0.500  0.500

***

Among the records above, which one has the highest spin magnetization? RbAlSbI2

***

raw total energy of number 2 (RbAlSbI2)? -28.27 eV/atom

***

The lowest raw total energy belongs to which entry? Tl2GaI

***

Look up the spin magnetization of the second one. 1.28 μB per formula unit